[1]
Sc3SbC | PBE | relaxed

## Properties
- Electronic total energy: -7.090 eV per atom
- DOS at the Fermi energy: 17.0 states/eV per cell
- Calculated density: 4.5 g/cm³
- ΔE_f (raw): -0.622 eV/atom
- Spin magnetization: 0.0 Bohr magnetons per cell

Cell: 23.700 5.982 9.283 Å, 90.00 162.39 90.00°
Fractional positions:
Sc: 0.416 0.823 0.603
Sc: 0.808 0.577 0.469
Sc: 0.150 0.931 0.268
Sc: 0.350 0.431 0.232
Sc: 0.850 0.069 0.732
Sc: 0.650 0.569 0.768
Sc: 0.692 0.077 0.031
Sc: 0.308 0.923 0.969
Sc: 0.192 0.423 0.531
Sc: 0.916 0.677 0.103
Sc: 0.584 0.177 0.397
Sc: 0.084 0.323 0.897
Sb: 0.998 0.204 0.363
Sb: 0.002 0.796 0.637
Sb: 0.502 0.704 0.137
Sb: 0.498 0.296 0.863
C: 0.523 0.752 0.646
C: 0.477 0.248 0.354
C: 0.977 0.252 0.854
C: 0.023 0.748 0.146

=====

[2]
Mg3ReO | PBE | relaxed

## Properties
- Energy above the lowest structure with this stoichiometry: 1.6722 eV per atom
- Electronic total energy: -3.126 eV per atom
- DOS at the Fermi energy: 2.1 states/eV per cell
- Calculated density: 3.3 g/cm³
- ΔE_f (raw): 1.312 eV/atom
- Spin magnetization: 3.3 Bohr magnetons per cell

Cell: 5.170 5.170 5.170 Å, 90.00 90.00 90.00°
Each line ends with the local moment (μB).
Fractional positions:
O: 0.500 0.500 0.500  0.94
Mg: 0.500 0.000 0.000  0.03
Mg: 0.000 0.000 0.500  -0.01
Mg: 0.000 0.500 0.000  0.01
Re: 0.000 0.000 0.000  1.66

=====

[3]
K4NpS4 | PBE | relaxed

## Properties
- Electronic total energy: -4.859 eV per atom
- DOS at the Fermi energy: 6.8 states/eV per cell
- Calculated density: 2.3 g/cm³
- ΔE_f (raw): -1.099 eV/atom
- Spin magnetization: 3.0 Bohr magnetons per cell

Cell: 7.647 7.647 8.448 Å, 116.91 116.91 90.00°
Each line ends with the local moment (μB).
Fractional positions:
K: 0.000 0.500 0.000  0.00
K: 0.701 0.701 0.401  0.00
K: 0.299 0.299 0.599  0.00
K: 0.500 0.000 0.000  0.00
S: 0.308 0.913 0.220  -0.07
S: 0.692 0.692 0.780  -0.07
S: 0.087 0.087 0.780  -0.07
S: 0.913 0.308 0.220  -0.07
Np: 0.000 0.000 0.000  3.21